10
Lattice="5.444 -0.094 0.096 2.638 4.605 -0.036 2.778 1.419 4.832" Properties=species:S:1:pos:R:3 comment="TiCrIn2O6 | Alexandria via LeMat-Bulk | GGA+U | relaxed" total_energy_ha_per_atom=-0.258 spacegroup=P1 pbc="T T T"
In 5.417 2.978 2.096
In 2.724 1.404 4.426
O 3.963 2.983 3.761
O 4.406 1.360 1.123
O 6.305 4.254 3.681
O 6.186 1.519 3.771
O 4.351 4.740 1.276
O 7.443 2.998 1.306
Ti 2.670 1.461 0.318
Cr 8.143 4.447 2.758